1.
This record from the Alexandria database describes a relaxed structure of Na2RhSBr. The functional is GGA-PBE.

Summary:
**Formation energy (no corrections)**: 0.0 eV/f.u.
**Space-group type**: P4/mmm, No. 123

```
Na2RhSBr
1.0
-1.131 -4.292 2.718
4.498 -1.574 -0.613
1.438 2.400 4.388
Na S Rh Br
2 1 1 1
Cartesian
0.719 1.200 2.194 Na
-0.566 -2.146 1.359 Na
2.403 -1.733 3.247 S
2.249 -0.787 -0.307 Rh
0.000 0.000 0.000 Br
```

2.
This record from the Alexandria database describes a relaxed structure of Nd4GaNiBr2. The functional is GGA-PBE.

Summary:
**Formation energy (no corrections)**: -6.5 eV/f.u.
**Space-group type**: P2/m, No. 10

```
Nd4GaNiBr2
1.0
4.019 0.000 0.000
0.000 7.535 0.245
0.000 -2.523 7.448
Nd Ga Ni Br
4 1 1 2
Cartesian
2.010 1.141 1.533 Nd
2.010 3.871 6.160 Nd
0.000 -0.092 5.840 Nd
0.000 5.105 1.852 Nd
2.010 3.768 0.122 Ga
0.000 0.000 0.000 Ni
2.010 -1.261 3.724 Br
0.000 2.506 3.846 Br
```

3.
This record from the Alexandria database describes a relaxed structure of Nd2Ge3Ir. The functional is GGA-PBE.

Summary:
**Formation energy**: -791 meV/atom
**Space-group type**: Fmmm, No. 69

```
Nd2Ge3Ir
1.0
-1.931 -5.685 0.352
1.089 -0.086 5.915
-6.436 5.295 -1.835
Nd Ge Ir
4 6 2
Cartesian
-4.394 -1.638 0.825 Nd
-1.163 -4.262 1.766 Nd
-2.884 1.161 3.606 Nd
0.321 -1.510 4.500 Nd
-1.792 -3.909 4.907 Ge
-5.903 0.569 2.632 Ge
-5.486 3.432 -0.476 Ge
-1.374 -1.046 1.799 Ge
-2.325 0.817 0.440 Ge
-4.953 -1.294 3.991 Ge
-2.695 -2.087 3.564 Ir
-4.583 1.610 0.868 Ir
```

4.
This record from the Alexandria database describes a relaxed structure of Y3TmN. The functional is GGA-PBE.

Summary:
**Formation energy (no corrections)**: -2.6 eV/f.u.
**Space-group type**: Pm-3m, No. 221

```
Y3TmN
1.0
4.967 0.000 0.000
0.000 4.967 0.000
0.000 0.000 4.967
Y Tm N
3 1 1
Cartesian
0.000 2.483 0.000 Y
0.000 0.000 2.483 Y
2.483 0.000 0.000 Y
2.483 2.483 2.483 Tm
0.000 0.000 0.000 N
```

5.
This record from the Alexandria database describes a relaxed structure of HfAlTcPd. The functional is GGA-PBE.

Summary:
**Formation energy**: -687 meV/atom
**Space-group type**: Pmmm, No. 47

```
HfAlTcPd
1.0
-2.639 -1.989 0.539
1.161 -2.445 -3.334
2.462 -2.532 2.715
Hf Al Tc Pd
1 1 1 1
Cartesian
-0.739 -2.217 -1.397 Hf
-0.088 -2.260 1.627 Al
0.000 0.000 0.000 Tc
1.812 -2.489 -0.310 Pd
```

6.
This record from the Alexandria database describes a relaxed structure of DyZn6Au2. The functional is GGA-PBE.

Summary:
**Formation energy**: -296 meV/atom
**Space-group type**: P4/mmm, No. 123

```
DyZn6Au2
1.0
3.888 0.000 0.000
0.000 3.888 0.000
0.000 0.000 10.505
Dy Zn Au
1 6 2
Cartesian
0.000 0.000 0.000 Dy
0.000 1.944 3.269 Zn
1.944 0.000 3.269 Zn
0.000 1.944 7.236 Zn
1.944 0.000 7.236 Zn
1.944 1.944 5.253 Zn
0.000 0.000 5.253 Zn
1.944 1.944 1.402 Au
1.944 1.944 9.104 Au
```

7.
This record from the Alexandria database describes a relaxed structure of Ir7Cl. The functional is GGA-PBE.

Summary:
**Formation energy (no corrections)**: 4.8 eV/f.u.
**Space-group type**: Fm-3m, No. 225

```
Ir7Cl
1.0
0.000 3.897 3.897
3.897 0.000 3.897
3.897 3.897 0.000
Ir Cl
7 1
Cartesian
1.949 1.949 3.897 Ir
1.949 3.897 1.949 Ir
0.000 1.949 1.949 Ir
1.949 1.949 0.000 Ir
1.949 0.000 1.949 Ir
3.897 1.949 1.949 Ir
3.897 3.897 3.897 Ir
0.000 0.000 0.000 Cl
```

8.
This record from the Alexandria database describes a relaxed structure of Pm2As4Ir3. The functional is GGA-PBE.

Summary:
**Formation energy**: -677 meV/atom
**Space-group type**: Fmmm, No. 69

```
Pm2As4Ir3
1.0
-3.779 -3.935 -1.775
5.172 0.513 -2.430
1.647 -2.398 6.223
Pm As Ir
2 4 3
Cartesian
1.342 -2.843 -0.968 Pm
1.698 -2.978 2.986 Pm
4.681 -1.319 2.623 As
-1.442 -4.361 3.071 As
-1.641 -4.502 -0.606 As
4.482 -1.460 -1.054 As
-1.890 -1.968 -0.888 Ir
0.000 0.000 0.000 Ir
2.586 0.256 -1.215 Ir
```